# CuRePb2 | Alexandria | GGA-PBE | optimized geometry
# Size of the total moment (Bohr magnetons per cell): 0.00
# Theoretical density (g cm⁻³): 13.5
# ΔE to the lowest computed polymorph (meV/atom): 44
data_CuRePb2
_space_group_name_H-M_alt 'P 1'
_space_group_IT_number 1
_space_group_name_Hall 'P 1'
_cell_length_a 4.317
_cell_length_b 5.526
_cell_length_c 5.526
_cell_angle_alpha 38.23
_cell_angle_beta 90.00
_cell_angle_gamma 90.00
loop_
_atom_site_label
_atom_site_type_symbol
_atom_site_fract_x
_atom_site_fract_y
_atom_site_fract_z
_atom_site_occupancy
Cu1 Cu 0.000 0.000 0.000 1
Re1 Re 0.500 0.859 0.859 1
Pb1 Pb 0.000 0.279 0.279 1
Pb2 Pb 0.500 0.576 0.576 1

# Ni2IrC | Alexandria | GGA-PBE | optimized geometry
# Size of the total moment (Bohr magnetons per cell): 0.00
# Theoretical density (g cm⁻³): 10.1
# E_tot (eV per cell): -51.2
data_Ni2IrC
_space_group_name_H-M_alt 'P 1'
_space_group_IT_number 1
_space_group_name_Hall 'P 1'
_cell_length_a 6.226
_cell_length_b 6.226
_cell_length_c 6.226
_cell_angle_alpha 138.32
_cell_angle_beta 138.32
_cell_angle_gamma 60.41
loop_
_atom_site_label
_atom_site_type_symbol
_atom_site_fract_x
_atom_site_fract_y
_atom_site_fract_z
_atom_site_occupancy
Ni1 Ni 0.007 0.625 0.882 1
Ni2 Ni 0.375 0.257 0.382 1
Ni3 Ni 0.743 0.125 0.118 1
Ni4 Ni 0.875 0.993 0.618 1
Ir1 Ir 0.250 0.750 0.500 1
Ir2 Ir 0.500 0.500 0.000 1
C1 C 0.000 0.000 0.000 1
C2 C 0.750 0.250 0.500 1

# ZrInTe2I | Alexandria | GGA-PBE | optimized geometry
# Size of the total moment (Bohr magnetons per cell): 0.00
# Theoretical density (g cm⁻³): 5.2
# ΔE to the lowest computed polymorph (meV/atom): 0
# E_form (uncorrected) (eV per formula unit): -2.1
data_ZrInTe2I
_space_group_name_H-M_alt 'P 1'
_space_group_IT_number 1
_space_group_name_Hall 'P 1'
_cell_length_a 5.649
_cell_length_b 5.649
_cell_length_c 5.854
_cell_angle_alpha 90.00
_cell_angle_beta 90.00
_cell_angle_gamma 90.00
loop_
_atom_site_label
_atom_site_type_symbol
_atom_site_fract_x
_atom_site_fract_y
_atom_site_fract_z
_atom_site_occupancy
Zr1 Zr 0.000 0.000 0.000 1
In1 In 0.500 0.500 0.500 1
Te1 Te 0.000 0.500 0.000 1
Te2 Te 0.500 0.000 0.000 1
I1 I 0.000 0.000 0.500 1

# Rh2AuCl | Alexandria | GGA-PBE | optimized geometry
# Size of the total moment (Bohr magnetons per cell): 0.00
# Theoretical density (g cm⁻³): 11.1
# ΔE to the lowest computed polymorph (meV/atom): 138
# E_form (uncorrected) (eV per formula unit): 1.3
data_Rh2AuCl
_space_group_name_H-M_alt 'P 1'
_space_group_IT_number 1
_space_group_name_Hall 'P 1'
_cell_length_a 2.938
_cell_length_b 3.834
_cell_length_c 5.804
_cell_angle_alpha 90.00
_cell_angle_beta 90.00
_cell_angle_gamma 90.00
loop_
_atom_site_label
_atom_site_type_symbol
_atom_site_fract_x
_atom_site_fract_y
_atom_site_fract_z
_atom_site_occupancy
Rh1 Rh 0.000 0.000 0.248 1
Rh2 Rh 0.000 0.000 0.752 1
Au1 Au 0.500 0.500 0.500 1
Cl1 Cl 0.000 0.500 0.000 1